Entry i
## LiReOs2 (PBEsol)

Data for a geometry-optimized LiReOs2 structure.

a b c (Å): 2.761 4.425 4.460
angles (deg): 90.00 90.00 90.00
Space group Pmmm (No. 47)
Inequivalent atoms, fractional coordinates:
Li1 0.000 0.000 0.000 (multiplicity 1)
Re1 0.500 0.000 0.500 (multiplicity 1)
Os1 0.000 0.500 0.500 (multiplicity 1)
Os2 0.500 0.500 0.000 (multiplicity 1)


Entry ii
## LiReOs2 (PBEsol)

Data for a geometry-optimized LiReOs2 structure.

a b c (Å): 2.846 4.383 8.473
angles (deg): 90.00 90.00 90.00
Space group Immm (No. 71)
Inequivalent atoms, fractional coordinates:
Li1 0.000 0.000 0.000 (multiplicity 2)
Re1 0.000 0.000 0.500 (multiplicity 2)
Os1 0.000 0.500 0.259 (multiplicity 4)


Entry iii
## LiReOs2 (PBEsol)

Data for a geometry-optimized LiReOs2 structure.

a b c (Å): 4.320 4.320 2.899
angles (deg): 90.00 90.00 90.00
Space group P4/mmm (No. 123)
Inequivalent atoms, fractional coordinates:
Li1 0.000 0.000 0.000 (multiplicity 1)
Re1 0.500 0.500 0.000 (multiplicity 1)
Os1 0.000 0.500 0.500 (multiplicity 2)


Which structure loses on stability? entry i does.


Entry i
## Li2OsRh (PBEsol)

Data for a geometry-optimized Li2OsRh structure.

a b c (Å): 5.859 5.859 5.859
angles (deg): 90.00 90.00 90.00
Space group F-43m (No. 216)
Inequivalent atoms, fractional coordinates:
Li1 0.000 0.000 0.000 (multiplicity 4)
Li2 0.250 0.250 0.250 (multiplicity 4)
Os1 0.250 0.250 0.750 (multiplicity 4)
Rh1 0.000 0.000 0.500 (multiplicity 4)


Entry ii
## Li2OsRh (PBEsol)

Data for a geometry-optimized Li2OsRh structure.

a b c (Å): 2.506 2.506 8.505
angles (deg): 90.00 90.00 90.00
Space group P4/mmm (No. 123)
Inequivalent atoms, fractional coordinates:
Li1 0.000 0.000 0.245 (multiplicity 2)
Os1 0.500 0.500 0.500 (multiplicity 1)
Rh1 0.500 0.500 0.000 (multiplicity 1)


Which structure loses on stability? entry ii does.


Entry i
## LiOs2Rh (PBEsol)

Data for a geometry-optimized LiOs2Rh structure.

a b c (Å): 5.961 5.961 5.961
angles (deg): 90.00 90.00 90.00
Space group F-43m (No. 216)
Inequivalent atoms, fractional coordinates:
Li1 0.000 0.000 0.000 (multiplicity 4)
Os1 0.000 0.000 0.500 (multiplicity 4)
Os2 0.250 0.250 0.250 (multiplicity 4)
Rh1 0.250 0.250 0.750 (multiplicity 4)


Entry ii
## LiOs2Rh (PBEsol)

Data for a geometry-optimized LiOs2Rh structure.

a b c (Å): 2.6616 2.6616 27.0044
angles (deg): 90.00 90.00 120.00
Space group R-3m (No. 166, hexagonal axes)
Inequivalent atoms, fractional coordinates:
Li1 0.0000 0.0000 0.0000 (multiplicity 3)
Os1 0.0000 0.0000 0.2475 (multiplicity 6)
Rh1 0.0000 0.0000 0.5000 (multiplicity 3)


Entry iii
## LiOs2Rh (PBEsol)

Data for a geometry-optimized LiOs2Rh structure.

a b c (Å): 2.6928 2.6928 26.5708
angles (deg): 90.00 90.00 120.00
Space group R3m (No. 160, hexagonal axes)
Inequivalent atoms, fractional coordinates:
Li1 0.0000 0.0000 0.0000 (multiplicity 3)
Os1 0.0000 0.0000 0.5014 (multiplicity 3)
Os2 0.0000 0.0000 0.7555 (multiplicity 3)
Rh1 0.0000 0.0000 0.2507 (multiplicity 3)


Which structure loses on stability? entry i does.


Entry i
## LiOs2Rh (PBEsol)

Data for a geometry-optimized LiOs2Rh structure.

a b c (Å): 2.612 2.612 8.070
angles (deg): 90.00 90.00 90.00
Space group P4/mmm (No. 123)
Inequivalent atoms, fractional coordinates:
Li1 0.000 0.000 0.000 (multiplicity 1)
Os1 0.500 0.500 0.258 (multiplicity 2)
Rh1 0.000 0.000 0.500 (multiplicity 1)


Entry ii
## LiOs2Rh (PBEsol)

Data for a geometry-optimized LiOs2Rh structure.

a b c (Å): 5.944 5.944 5.944
angles (deg): 90.00 90.00 90.00
Space group Fm-3m (No. 225)
Inequivalent atoms, fractional coordinates:
Li1 0.000 0.000 0.000 (multiplicity 4)
Os1 0.250 0.250 0.250 (multiplicity 8)
Rh1 0.000 0.000 0.500 (multiplicity 4)


Which structure loses on stability? entry ii does.


Entry i
## Li2OsRu (PBEsol)

Data for a geometry-optimized Li2OsRu structure.

a b c (Å): 5.115 9.119 2.568
angles (deg): 90.00 116.72 90.00
Space group C2/m (No. 12)
Inequivalent atoms, fractional coordinates:
Li1 0.250 0.250 0.000 (multiplicity 4)
Os1 0.000 0.000 0.500 (multiplicity 2)
Ru1 0.000 0.500 0.500 (multiplicity 2)


Entry ii
## Li2OsRu (PBEsol)

Data for a geometry-optimized Li2OsRu structure.

a b c (Å): 2.776 2.776 7.367
angles (deg): 90.00 90.00 90.00
Space group P4mm (No. 99)
Inequivalent atoms, fractional coordinates:
Li1 0.000 0.000 0.000 (multiplicity 1)
Li2 0.500 0.500 0.278 (multiplicity 1)
Os1 0.000 0.000 0.531 (multiplicity 1)
Ru1 0.500 0.500 0.748 (multiplicity 1)


Which structure loses on stability? entry i does.


Entry i
## LiOsSe (PBEsol)

Data for a geometry-optimized LiOsSe structure.

a b c (Å): 5.684 5.684 5.684
angles (deg): 90.00 90.00 90.00
Space group F-43m (No. 216)
Inequivalent atoms, fractional coordinates:
Li1 0.000 0.000 0.000 (multiplicity 4)
Os1 0.000 0.000 0.500 (multiplicity 4)
Se1 0.250 0.250 0.250 (multiplicity 4)


Entry ii
## LiOsSe (PBEsol)

Data for a geometry-optimized LiOsSe structure.

a b c (Å): 4.1067 4.1067 3.0963
angles (deg): 90.00 90.00 120.00
Space group P-6m2 (No. 187)
Inequivalent atoms, fractional coordinates:
Li1 0.0000 0.0000 0.0000 (multiplicity 1)
Os1 0.6667 0.3333 0.5000 (multiplicity 1)
Se1 0.3333 0.6667 0.5000 (multiplicity 1)


Which structure loses on stability? entry i does.


Entry i
## SrLiOs2 (PBEsol)

Data for a geometry-optimized SrLiOs2 structure.

a b c (Å): 5.086 9.777 2.780
angles (deg): 90.00 90.00 90.00
Space group Cmmm (No. 65)
Inequivalent atoms, fractional coordinates:
Sr1 0.000 0.000 0.000 (multiplicity 2)
Li1 0.000 0.500 0.000 (multiplicity 2)
Os1 0.250 0.250 0.500 (multiplicity 4)


Entry ii
## SrLiOs2 (PBEsol)

Data for a geometry-optimized SrLiOs2 structure.

a b c (Å): 5.334 10.043 2.796
angles (deg): 90.00 117.22 90.00
Space group C2/m (No. 12)
Inequivalent atoms, fractional coordinates:
Sr1 0.000 0.000 0.000 (multiplicity 2)
Li1 0.000 0.500 0.000 (multiplicity 2)
Os1 0.250 0.250 0.500 (multiplicity 4)


Which structure loses on stability? entry i does.


Entry i
## LiTcOs2 (PBEsol)

Data for a geometry-optimized LiTcOs2 structure.

a b c (Å): 5.301 8.482 2.630
angles (deg): 90.00 113.68 90.00
Space group C2/m (No. 12)
Inequivalent atoms, fractional coordinates:
Li1 0.000 0.000 0.000 (multiplicity 2)
Tc1 0.000 0.500 0.000 (multiplicity 2)
Os1 0.250 0.250 0.500 (multiplicity 4)


Entry ii
## LiTcOs2 (PBEsol)

Data for a geometry-optimized LiTcOs2 structure.

a b c (Å): 2.932 4.240 8.391
angles (deg): 90.00 90.00 90.00
Space group Imm2 (No. 44)
Inequivalent atoms, fractional coordinates:
Li1 0.000 0.000 0.000 (multiplicity 2)
Tc1 0.000 0.500 0.256 (multiplicity 2)
Os1 0.000 0.000 0.501 (multiplicity 2)
Os2 0.000 0.500 0.742 (multiplicity 2)


Which structure loses on stability? entry i does.


Entry i
## LiTcOs2 (PBEsol)

Data for a geometry-optimized LiTcOs2 structure.

a b c (Å): 2.646 3.982 5.153
angles (deg): 90.00 104.13 90.00
Space group P2/m (No. 10)
Inequivalent atoms, fractional coordinates:
Li1 0.000 0.000 0.000 (multiplicity 1)
Tc1 0.000 0.000 0.500 (multiplicity 1)
Os1 0.410 0.500 0.234 (multiplicity 2)


Entry ii
## LiTcOs2 (PBEsol)

Data for a geometry-optimized LiTcOs2 structure.

a b c (Å): 2.770 4.483 9.057
angles (deg): 90.00 90.00 90.00
Space group Cmmm (No. 65)
Inequivalent atoms, fractional coordinates:
Li1 0.000 0.000 0.000 (multiplicity 2)
Tc1 0.000 0.000 0.500 (multiplicity 2)
Os1 0.000 0.500 0.253 (multiplicity 4)


Which structure loses on stability? entry ii does.


Entry i
## LiTlOs2 (PBEsol)

Data for a geometry-optimized LiTlOs2 structure.

a b c (Å): 5.321 9.672 2.801
angles (deg): 90.00 120.06 90.00
Space group C2/m (No. 12)
Inequivalent atoms, fractional coordinates:
Li1 0.000 0.000 0.000 (multiplicity 2)
Tl1 0.000 0.500 0.000 (multiplicity 2)
Os1 0.250 0.250 0.500 (multiplicity 4)


Entry ii
## LiTlOs2 (PBEsol)

Data for a geometry-optimized LiTlOs2 structure.

a b c (Å): 3.735 3.735 4.420
angles (deg): 90.00 90.00 90.00
Space group P4/mmm (No. 123)
Inequivalent atoms, fractional coordinates:
Li1 0.000 0.000 0.000 (multiplicity 1)
Tl1 0.500 0.500 0.000 (multiplicity 1)
Os1 0.000 0.500 0.500 (multiplicity 2)


Which structure loses on stability? entry ii does.


Entry i
## LiY2Os (PBEsol)

Data for a geometry-optimized LiY2Os structure.

a b c (Å): 3.411 4.806 10.543
angles (deg): 90.00 90.00 90.00
Space group Imm2 (No. 44)
Inequivalent atoms, fractional coordinates:
Li1 0.000 0.000 0.000 (multiplicity 2)
Y1 0.000 0.000 0.401 (multiplicity 2)
Y2 0.000 0.500 0.197 (multiplicity 2)
Os1 0.000 0.500 0.692 (multiplicity 2)


Entry ii
## LiY2Os (PBEsol)

Data for a geometry-optimized LiY2Os structure.

a b c (Å): 6.849 6.849 6.849
angles (deg): 90.00 90.00 90.00
Space group Fm-3m (No. 225)
Inequivalent atoms, fractional coordinates:
Li1 0.000 0.000 0.000 (multiplicity 4)
Y1 0.250 0.250 0.250 (multiplicity 8)
Os1 0.000 0.000 0.500 (multiplicity 4)


Which structure loses on stability? entry i does.


Entry i
## LiP7 (PBEsol)

Data for a geometry-optimized LiP7 structure.

a b c (Å): 13.301 13.301 14.538
angles (deg): 90.00 90.00 90.00
Space group I4_1/acd (No. 142, origin choice 2)
Inequivalent atoms, fractional coordinates:
Li1 0.129 0.121 0.125 (multiplicity 16)
P1 0.045 0.000 0.250 (multiplicity 16)
P2 0.057 0.065 0.854 (multiplicity 32)
P3 0.073 0.081 0.577 (multiplicity 32)
P4 0.178 0.045 0.463 (multiplicity 32)


Entry ii
## LiP7 (PBEsol)

Data for a geometry-optimized LiP7 structure.

a b c (Å): 7.651 7.651 7.651
angles (deg): 90.00 90.00 90.00
Space group Fm-3m (No. 225)
Inequivalent atoms, fractional coordinates:
Li1 0.000 0.000 0.000 (multiplicity 4)
P1 0.000 0.000 0.500 (multiplicity 4)
P2 0.000 0.250 0.250 (multiplicity 24)


Which structure loses on stability? entry ii does.